Here is a relaxed structure of Ba2CrP from Alexandria via LeMat-Bulk. Energies are from PBE-GGA.

Output
Magnetic moment, Bohr magnetons per cell: 10.0

Cell lengths 8.086, 4.660, 9.144 Å; angles 90.00, 106.94, 90.00 degrees
Space group C2/m (No. 12)
Symmetry-distinct sites (fractional):
Ba 0.231 0.000 0.195 [4 per cell]
Cr 0.000 0.000 0.500 [2 per cell]
P 0.000 0.500 0.000 [2 per cell]

=====

Here is a relaxed structure of Ba2CrP from Alexandria via LeMat-Bulk. Energies are from PBE-GGA.

Output
Magnetic moment, Bohr magnetons per cell: 8.6

Cell lengths 4.413, 4.786, 12.488 Å; angles 90.00, 90.00, 90.00 degrees
Space group Amm2 (No. 38)
Symmetry-distinct sites (fractional):
Ba 0.000 0.000 0.000 [2 per cell]
Ba 0.500 0.000 0.281 [2 per cell]
Cr 0.000 0.000 0.681 [2 per cell]
P 0.500 0.000 0.585 [2 per cell]

=====

Here is a relaxed structure of BaCrP2 from Alexandria via LeMat-Bulk. Energies are from PBE-GGA.

Output
Magnetic moment, Bohr magnetons per cell: 10.2

Cell lengths 7.077, 7.077, 7.077 Å; angles 90.00, 90.00, 90.00 degrees
Space group Fm-3m (No. 225)
Symmetry-distinct sites (fractional):
Ba 0.000 0.000 0.000 [4 per cell]
Cr 0.000 0.000 0.500 [4 per cell]
P 0.250 0.250 0.250 [8 per cell]

=====

Here is a relaxed structure of BaCrP2 from Alexandria via LeMat-Bulk. Energies are from PBE-GGA.

Output
Magnetic moment, Bohr magnetons per cell: 3.7

Cell lengths 5.365, 5.365, 3.179 Å; angles 90.00, 90.00, 90.00 degrees
Space group P4/mmm (No. 123)
Symmetry-distinct sites (fractional):
Ba 0.000 0.000 0.000 [1 per cell]
Cr 0.500 0.500 0.000 [1 per cell]
P 0.000 0.500 0.500 [2 per cell]

=====

Here is a relaxed structure of Ba2CrP from Alexandria via LeMat-Bulk. Energies are from PBE-GGA.

Output
Magnetic moment, Bohr magnetons per cell: 5.3

Cell lengths 4.023, 4.023, 8.326 Å; angles 90.00, 90.00, 90.00 degrees
Space group P4/mmm (No. 123)
Symmetry-distinct sites (fractional):
Ba 0.000 0.000 0.204 [2 per cell]
Cr 0.500 0.500 0.500 [1 per cell]
P 0.500 0.500 0.000 [1 per cell]

=====

Here is a relaxed structure of Ba3CrP from Alexandria via LeMat-Bulk. Energies are from PBE-GGA.

Output
Magnetic moment, Bohr magnetons per cell: 6.1

Cell lengths 6.249, 6.249, 6.249 Å; angles 90.00, 90.00, 90.00 degrees
Space group Pm-3m (No. 221)
Symmetry-distinct sites (fractional):
Ba 0.000 0.000 0.500 [3 per cell]
Cr 0.500 0.500 0.500 [1 per cell]
P 0.000 0.000 0.000 [1 per cell]

=====

| no. | energy of formation from the pure elements (meV/atom) | E (eV per atom) |
| --- | --- | --- |
| 1 | -19.9 | -4.74 |
| 2 | -228.3 | -4.95 |
| 3 | 142.6 | -5.45 |
| 4 | 252.0 | -5.34 |
| 5 | -39.0 | -4.76 |
| 6 | -2.6 | -4.16 |